# MnBe2CoHg

A relaxed MnBe2CoHg crystal (PBE, the Alexandria database).

Output
- formation energy (meV/atom) = 1263
- space group = P4/mmm (123)
- crystal system = tetragonal
- mass density (g cm⁻³) = 6.09

Cell lengths 4.314, 4.876, 4.314 Å; angles 90.00, 90.00, 90.00 degrees
Site moments in Bohr magnetons follow the coordinates.
Element x y z (fractional)
Be  0.500  0.000  0.000  0.01
Be  0.000  0.000  0.500  0.02
Mn  0.500  0.500  0.500  4.17
Co  0.000  0.500  0.000  1.73
Hg  0.000  0.000  0.000  0.02


# PmTiGa5Pd2

A relaxed PmTiGa5Pd2 crystal (PBE, the Alexandria database).

Output
- formation energy (meV/atom) = -295
- space group = P4/mmm (123)
- crystal system = tetragonal
- mass density (g cm⁻³) = 7.12

Cell lengths 4.856, 4.856, 7.463 Å; angles 90.00, 90.00, 90.00 degrees
Site moments in Bohr magnetons follow the coordinates.
Element x y z (fractional)
Ga  0.500  0.000  0.800  0.00
Ga  0.500  0.000  0.200  0.00
Ga  0.500  0.500  0.500  0.00
Ga  0.000  0.500  0.800  0.00
Ga  0.000  0.500  0.200  0.00
Pm  0.000  0.000  0.500  0.00
Ti  0.000  0.000  0.000  0.35
Pd  0.500  0.500  0.823  0.00
Pd  0.500  0.500  0.177  0.00


# V2BCl

A relaxed V2BCl crystal (PBE, the Alexandria database).

Output
- space group = Fm-3m (225)
- formation energy (no corrections) (eV/atom) = 0.35
- crystal system = cubic
- offset from the most stable computed form (kJ per mole of atoms) = 0.88
- mass density (g cm⁻³) = 5.41

Cell lengths 4.008, 4.008, 4.008 Å; angles 60.00, 60.00, 60.00 degrees
Element x y z (fractional)
B  0.000  0.000  0.000
V  0.250  0.250  0.250
V  0.750  0.750  0.750
Cl  0.500  0.500  0.500


# Zn2Ni5Ir

A relaxed Zn2Ni5Ir crystal (PBE, the Alexandria database).

Output
- formation energy (meV/atom) = -84
- space group = P-1 (2)
- crystal system = triclinic
- offset from the most stable computed form (kJ per mole of atoms) = 0.00
- mass density (g cm⁻³) = 10.64

Cell lengths 5.189, 5.182, 11.795 Å; angles 63.70, 131.50, 90.33 degrees
Site moments in Bohr magnetons follow the coordinates.
Element x y z (fractional)
Zn  0.732  0.740  0.996  -0.01
Zn  0.994  0.756  0.498  -0.01
Zn  0.268  0.260  0.004  -0.01
Zn  0.006  0.244  0.502  -0.01
Ni  0.254  0.747  0.003  0.43
Ni  0.114  0.751  0.747  0.30
Ni  0.871  0.751  0.249  0.38
Ni  0.886  0.249  0.253  0.30
Ni  0.504  0.248  0.501  0.43
Ni  0.627  0.750  0.749  0.36
Ni  0.746  0.253  0.997  0.43
Ni  0.373  0.250  0.251  0.36
Ni  0.496  0.752  0.499  0.43
Ni  0.129  0.249  0.751  0.38
Ir  0.362  0.748  0.248  0.29
Ir  0.638  0.252  0.752  0.29


# NaZr2ReCl

A relaxed NaZr2ReCl crystal (PBE, the Alexandria database).

Output
- space group = P4/mmm (123)
- formation energy (no corrections) (eV/atom) = 0.58
- crystal system = tetragonal
- mass density (g cm⁻³) = 6.89

Cell lengths 4.847, 4.379, 4.847 Å; angles 90.00, 90.00, 90.00 degrees
Element x y z (fractional)
Zr  0.000  0.000  0.500
Zr  0.500  0.000  0.000
Cl  0.000  0.000  0.000
Re  0.500  0.500  0.500
Na  0.000  0.500  0.000


# NaOsF2

A relaxed NaOsF2 crystal (PBE, the Alexandria database).

Output
- space group = I-42d (122)
- formation energy (no corrections) (eV/atom) = -0.40
- crystal system = tetragonal
- offset from the most stable computed form (kJ per mole of atoms) = 98.08
- mass density (g cm⁻³) = 6.67

Cell lengths 6.001, 6.001, 5.482 Å; angles 56.81, 56.81, 90.00 degrees
Site moments in Bohr magnetons follow the coordinates.
Element x y z (fractional)
Na  0.500  0.500  0.000  0.00
Na  0.250  0.750  0.500  0.00
F  0.614  0.125  0.250  0.11
F  0.136  0.625  0.250  0.10
F  0.875  0.864  0.750  0.10
F  0.375  0.386  0.750  0.11
Os  0.000  0.000  0.000  2.85
Os  0.750  0.250  0.500  2.86


no.,uncorrected energy (eV per formula unit)
1,-17.72
2,-40.82
3,-25.38
4,-40.99
5,-29.81
6,-17.89